1.
VASP calculation (GGA+U) on a relaxed VCr3O crystal.

Values from the calculation:
**E**: -25.6 eV per cell
**D(E_F)**: 4.25 states/eV per cell
**V**: 111.4 Å³/f.u.
**Spin magnetization**: 9.97 μB/cell

Cell: 4.811 4.811 4.811 Å, 90.00 90.00 90.00°
Element x y z (fractional)
Cr 0.000 0.500 0.000
Cr 0.500 0.000 0.000
Cr 0.000 0.000 0.500
O 0.500 0.500 0.500
V 0.000 0.000 0.000


2.
VASP calculation (GGA+U) on a relaxed V2CrO crystal.

Values from the calculation:
**E**: -52.7 eV per cell
**D(E_F)**: 3.35 states/eV per cell
**V**: 75.7 Å³/f.u.
**Spin magnetization**: 22.50 μB/cell

Cell: 6.402 6.402 5.844 Å, 56.79 56.79 90.00°
Element x y z (fractional)
O 0.500 0.500 0.000
O 0.250 0.750 0.500
Cr 0.000 0.000 0.000
Cr 0.750 0.250 0.500
V 0.497 0.125 0.250
V 0.375 0.503 0.750
V 0.875 0.747 0.750
V 0.253 0.625 0.250


3.
VASP calculation (GGA+U) on a relaxed VCrO2 crystal.

Values from the calculation:
**E**: -60.4 eV per cell
**D(E_F)**: 3.61 states/eV per cell
**V**: 55.4 Å³/f.u.
**Spin magnetization**: 13.99 μB/cell

Cell: 4.857 4.857 5.820 Å, 65.34 65.34 90.00°
Element x y z (fractional)
V 0.250 0.750 0.500
V 0.500 0.500 0.000
Cr 0.000 0.000 0.000
Cr 0.750 0.250 0.500
O 0.585 0.125 0.250
O 0.375 0.415 0.750
O 0.165 0.625 0.250
O 0.875 0.835 0.750


4.
VASP calculation (GGA+U) on a relaxed VCrO4 crystal.

Values from the calculation:
**E**: -184.4 eV per cell
**D(E_F)**: 0.00 states/eV per cell
**V**: 74.7 Å³/f.u.
**Spin magnetization**: 12.00 μB/cell

Cell: 6.731 6.731 6.943 Å, 77.33 77.33 84.19°
Element x y z (fractional)
O 0.199 0.893 0.200
O 0.793 0.793 0.141
O 0.794 0.475 0.473
O 0.207 0.207 0.859
O 0.801 0.107 0.800
O 0.139 0.139 0.459
O 0.209 0.502 0.111
O 0.107 0.801 0.800
O 0.893 0.199 0.200
O 0.525 0.206 0.527
O 0.206 0.525 0.527
O 0.475 0.794 0.473
O 0.861 0.861 0.541
O 0.791 0.498 0.889
O 0.502 0.209 0.111
O 0.498 0.791 0.889
V 0.252 0.748 0.000
V 0.275 0.275 0.601
V 0.748 0.252 0.000
V 0.725 0.725 0.399
Cr 0.202 0.202 0.142
Cr 0.798 0.798 0.858
Cr 0.179 0.821 0.500
Cr 0.821 0.179 0.500


5.
VASP calculation (GGA+U) on a relaxed V3CrO10 crystal.

Values from the calculation:
**E**: -101.9 eV per cell
**D(E_F)**: 0.40 states/eV per cell
**V**: 198.0 Å³/f.u.
**Spin magnetization**: 1.00 μB/cell

Cell: 4.568 6.584 6.584 Å, 90.00 90.00 90.00°
Element x y z (fractional)
O 0.216 0.719 0.500
O 0.787 0.784 0.000
O 0.787 0.216 0.000
O 0.784 0.500 0.719
O 0.216 0.281 0.500
O 0.213 0.000 0.784
O 0.784 0.500 0.281
O 0.213 0.000 0.216
O 0.764 0.000 0.500
O 0.236 0.500 0.000
V 0.000 0.500 0.500
V 0.117 0.000 0.500
V 0.883 0.500 0.000
Cr 0.000 0.000 0.000


6.
VASP calculation (GGA+U) on a relaxed V2CrO6 crystal.

Values from the calculation:
**E**: -68.8 eV per cell
**V**: 123.5 Å³/f.u.
**Spin magnetization**: 4.00 μB/cell

Cell: 3.573 5.303 7.009 Å, 98.39 90.00 109.69°
Element x y z (fractional)
O 0.226 0.452 0.891
O 0.774 0.548 0.109
O 0.387 0.774 0.375
O 0.893 0.787 0.720
O 0.107 0.213 0.280
O 0.613 0.226 0.625
V 0.252 0.504 0.188
V 0.748 0.496 0.812
Cr 0.000 0.000 0.500


7.
VASP calculation (GGA+U) on a relaxed V2CrO8 crystal.

Values from the calculation:
**E**: -73.5 eV per cell
**D(E_F)**: 3.05 states/eV per cell
**V**: 175.2 Å³/f.u.
**Spin magnetization**: 0.58 μB/cell

Cell: 4.602 5.946 7.151 Å, 102.73 90.00 112.77°
Element x y z (fractional)
V 0.217 0.435 0.313
V 0.783 0.565 0.687
Cr 0.000 0.000 0.000
O 0.223 0.447 0.559
O 0.353 0.706 0.257
O 0.777 0.553 0.441
O 0.647 0.294 0.743
O 0.643 0.794 0.853
O 0.357 0.206 0.147
O 0.151 0.794 0.853
O 0.849 0.206 0.147


8.
VASP calculation (GGA+U) on a relaxed V4Cr2O9 crystal.

Values from the calculation:
**E**: -239.7 eV per cell
**V**: 159.1 Å³/f.u.
**Spin magnetization**: 28.00 μB/cell

Cell: 5.121 5.121 14.006 Å, 90.00 90.00 60.00°
Element x y z (fractional)
O 0.030 0.333 0.084
O 0.699 0.301 0.250
O 0.300 0.000 0.250
O 0.668 0.363 0.916
O 0.667 0.970 0.416
O 0.970 0.363 0.416
O 0.700 0.000 0.750
O 0.999 0.699 0.250
O 0.638 0.332 0.584
O 0.030 0.637 0.584
O 0.001 0.301 0.750
O 0.637 0.030 0.084
O 0.970 0.667 0.916
O 0.362 0.668 0.416
O 0.333 0.030 0.584
O 0.363 0.970 0.916
O 0.301 0.699 0.750
O 0.332 0.637 0.084
Cr 0.000 0.000 0.651
Cr 0.000 0.000 0.151
Cr 0.000 0.000 0.349
Cr 0.000 0.000 0.849
V 0.666 0.667 0.315
V 0.333 0.333 0.482
V 0.334 0.333 0.685
V 0.333 0.334 0.185
V 0.667 0.667 0.518
V 0.667 0.667 0.018
V 0.667 0.666 0.815
V 0.333 0.333 0.982


9.
VASP calculation (GGA+U) on a relaxed VCrO4 crystal.

Values from the calculation:
**E**: -92.3 eV per cell
**D(E_F)**: 0.00 states/eV per cell
**V**: 73.7 Å³/f.u.
**Spin magnetization**: 6.00 μB/cell

Cell: 5.077 6.190 5.077 Å, 90.00 112.43 90.00°
Element x y z (fractional)
O 0.210 0.250 0.257
O 0.235 0.032 0.765
O 0.235 0.468 0.765
O 0.743 0.250 0.790
O 0.765 0.968 0.235
O 0.790 0.750 0.743
O 0.257 0.750 0.210
O 0.765 0.532 0.235
V 0.645 0.750 0.355
V 0.355 0.250 0.645
Cr 0.000 0.500 0.000
Cr 0.000 0.000 0.000


10.
VASP calculation (GGA+U) on a relaxed VCrO4 crystal.

Values from the calculation:
**E**: -91.8 eV per cell
**V**: 63.8 Å³/f.u.
**Spin magnetization**: 6.00 μB/cell

Cell: 6.216 5.504 5.504 Å, 112.77 55.62 124.38°
Element x y z (fractional)
O 0.310 0.268 0.232
O 0.690 0.732 0.768
O 0.274 0.732 0.768
O 0.726 0.268 0.232
O 0.802 0.278 0.674
O 0.198 0.174 0.778
O 0.802 0.826 0.222
O 0.198 0.722 0.326
Cr 0.500 0.000 0.000
Cr 0.500 0.500 0.500
V 0.958 0.208 0.292
V 0.042 0.792 0.708


11.
VASP calculation (GGA+U) on a relaxed VCrO3 crystal.

Values from the calculation:
**E**: -159.5 eV per cell
**V**: 52.6 Å³/f.u.
**Spin magnetization**: 20.00 μB/cell

Cell: 5.111 5.502 9.101 Å, 85.36 73.64 117.68°
Element x y z (fractional)
V 0.349 0.377 0.678
V 0.352 0.879 0.173
V 0.851 0.128 0.426
V 0.148 0.873 0.573
Cr 0.849 0.622 0.925
Cr 0.651 0.627 0.324
Cr 0.650 0.124 0.827
Cr 0.152 0.377 0.075
O 0.553 0.624 0.124
O 0.252 0.280 0.472
O 0.754 0.227 0.025
O 0.750 0.721 0.525
O 0.945 0.473 0.276
O 0.049 0.524 0.725
O 0.946 0.971 0.776
O 0.052 0.028 0.223
O 0.447 0.873 0.374
O 0.551 0.124 0.628
O 0.448 0.374 0.878
O 0.251 0.775 0.973


12.
VASP calculation (GGA+U) on a relaxed VCr3O7 crystal.

Values from the calculation:
**E**: -167.1 eV per cell
**D(E_F)**: 0.15 states/eV per cell
**V**: 116.6 Å³/f.u.
**Spin magnetization**: 18.00 μB/cell

Cell: 6.042 6.042 6.752 Å, 90.00 90.00 108.94°
Element x y z (fractional)
Cr 0.513 0.998 0.259
Cr 0.998 0.513 0.741
Cr 0.002 0.487 0.241
Cr 0.436 0.436 0.500
Cr 0.564 0.564 0.000
Cr 0.487 0.002 0.759
O 0.324 0.045 0.032
O 0.345 0.655 0.750
O 0.373 0.627 0.250
O 0.627 0.373 0.750
O 0.918 0.665 0.021
O 0.955 0.676 0.468
O 0.665 0.918 0.979
O 0.335 0.082 0.479
O 0.956 0.044 0.250
O 0.655 0.345 0.250
O 0.045 0.324 0.968
O 0.044 0.956 0.750
O 0.082 0.335 0.521
O 0.676 0.955 0.532
V 0.023 0.023 0.000
V 0.977 0.977 0.500


13.
VASP calculation (GGA+U) on a relaxed V2Cr4O9 crystal.

Values from the calculation:
**E**: -238.9 eV per cell
**V**: 156.9 Å³/f.u.
**Spin magnetization**: 32.00 μB/cell

Cell: 5.108 5.108 13.886 Å, 90.00 90.00 60.00°
Element x y z (fractional)
V 0.000 0.000 0.648
V 0.000 0.000 0.352
V 0.000 0.000 0.148
V 0.000 0.000 0.852
O 0.366 0.969 0.917
O 0.697 0.000 0.750
O 0.000 0.303 0.750
O 0.000 0.697 0.250
O 0.335 0.634 0.083
O 0.303 0.697 0.750
O 0.031 0.634 0.583
O 0.366 0.665 0.417
O 0.634 0.031 0.083
O 0.665 0.969 0.417
O 0.335 0.031 0.583
O 0.303 0.000 0.250
O 0.031 0.335 0.083
O 0.969 0.366 0.417
O 0.634 0.335 0.583
O 0.665 0.366 0.917
O 0.969 0.665 0.917
O 0.697 0.303 0.250
Cr 0.666 0.667 0.317
Cr 0.667 0.667 0.817
Cr 0.333 0.333 0.183
Cr 0.334 0.333 0.683
Cr 0.333 0.333 0.484
Cr 0.667 0.667 0.516
Cr 0.333 0.333 0.984
Cr 0.667 0.667 0.016


14.
VASP calculation (GGA+U) on a relaxed VCrO3 crystal.

Values from the calculation:
**E**: -157.4 eV per cell
**V**: 53.5 Å³/f.u.
**Spin magnetization**: 20.00 μB/cell

Cell: 5.078 5.384 8.925 Å, 82.23 103.06 115.80°
Element x y z (fractional)
O 0.824 0.923 0.369
O 0.802 0.513 0.770
O 0.199 0.479 0.237
O 0.778 0.077 0.020
O 0.727 0.425 0.482
O 0.214 0.916 0.981
O 0.289 0.570 0.524
O 0.336 0.425 0.873
O 0.304 0.017 0.267
O 0.708 0.984 0.733
O 0.175 0.065 0.633
O 0.674 0.577 0.132
Cr 0.517 0.849 0.175
Cr 0.733 0.753 0.580
Cr 0.771 0.745 0.923
Cr 0.487 0.144 0.829
V 0.234 0.265 0.078
V 0.269 0.228 0.426
V 0.025 0.360 0.676
V 0.981 0.637 0.328


15.
VASP calculation (GGA+U) on a relaxed VCr3O crystal.

Values from the calculation:
**E**: -34.6 eV per cell
**D(E_F)**: 1.16 states/eV per cell
**V**: 77.7 Å³/f.u.
**Spin magnetization**: 8.97 μB/cell

Cell: 4.267 4.267 4.267 Å, 90.00 90.00 90.00°
Element x y z (fractional)
Cr 0.500 0.000 0.000
Cr 0.000 0.500 0.000
Cr 0.000 0.000 0.500
O 0.000 0.000 0.000
V 0.500 0.500 0.500


16.
VASP calculation (GGA+U) on a relaxed VCrO2 crystal.

Values from the calculation:
**E**: -31.0 eV per cell
**D(E_F)**: 0.60 states/eV per cell
**V**: 50.9 Å³/f.u.
**Spin magnetization**: 6.05 μB/cell

Cell: 6.304 6.304 6.304 Å, 28.64 28.64 28.64°
Element x y z (fractional)
O 0.890 0.890 0.890
O 0.110 0.110 0.110
Cr 0.000 0.000 0.000
V 0.500 0.500 0.500


17.
VASP calculation (GGA+U) on a relaxed VCr3O8 crystal.

Values from the calculation:
**E**: -88.4 eV per cell
**D(E_F)**: 0.47 states/eV per cell
**V**: 146.2 Å³/f.u.
**Spin magnetization**: 7.00 μB/cell

Cell: 5.819 5.819 5.957 Å, 61.25 61.25 60.82°
Element x y z (fractional)
Cr 0.000 0.500 0.000
Cr 0.500 0.000 0.000
Cr 0.500 0.500 0.500
O 0.299 0.734 0.220
O 0.737 0.737 0.218
O 0.734 0.299 0.220
O 0.701 0.266 0.780
O 0.266 0.701 0.780
O 0.729 0.729 0.795
O 0.271 0.271 0.205
O 0.263 0.263 0.782
V 0.500 0.500 0.000


18.
VASP calculation (GGA+U) on a relaxed VCrO3 crystal.

Values from the calculation:
**E**: -157.4 eV per cell
**V**: 53.4 Å³/f.u.
**Spin magnetization**: 20.00 μB/cell

Cell: 5.621 5.086 8.832 Å, 76.63 93.72 119.37°
Element x y z (fractional)
O 0.889 0.965 0.142
O 0.086 0.536 0.151
O 0.007 0.762 0.454
O 0.604 0.026 0.358
O 0.503 0.759 0.953
O 0.997 0.240 0.545
O 0.412 0.457 0.347
O 0.488 0.234 0.048
O 0.397 0.973 0.643
O 0.594 0.547 0.648
O 0.107 0.033 0.859
O 0.913 0.462 0.852
V 0.519 0.162 0.829
V 0.671 0.349 0.479
V 0.336 0.654 0.518
V 0.826 0.652 0.019
Cr 0.009 0.151 0.332
Cr 0.485 0.842 0.166
Cr 0.163 0.342 0.988
Cr 0.994 0.852 0.668


19.
VASP calculation (GGA+U) on a relaxed V3CrO crystal.

Values from the calculation:
**E**: -25.0 eV per cell
**D(E_F)**: 4.52 states/eV per cell
**V**: 103.0 Å³/f.u.
**Spin magnetization**: 6.33 μB/cell

Cell: 4.687 4.687 4.687 Å, 90.00 90.00 90.00°
Element x y z (fractional)
V 0.000 0.000 0.500
V 0.500 0.000 0.000
V 0.000 0.500 0.000
Cr 0.000 0.000 0.000
O 0.500 0.500 0.500